BiTe3C PBE relaxed; E_tot = -2.53 eV per atom; E_form (uncorrected) = 1.9781 eV/atom
1.0
5.9754 0.0000 0.0000
0.0000 5.9754 0.0000
0.0000 0.0000 5.9754
Bi Te C
1 3 1
Direct
0.0000 0.0000 0.0000
0.0000 0.0000 0.5000
0.0000 0.5000 0.0000
0.5000 0.0000 0.0000
0.5000 0.5000 0.5000